# 1
First-principles (PBE) data for crystalline Na2B3C at its relaxed geometry, as listed in the Alexandria database.

Unit cell a=5.089 b=7.709 c=9.095 alpha=107.58 beta=90.03 gamma=109.26
Positions (direct):
Na 0.000 0.000 0.000
Na 0.099 0.199 0.498
Na 0.198 0.399 0.997
Na 0.299 0.600 0.503
Na 0.399 0.799 0.999
Na 0.500 0.000 0.500
Na 0.601 0.199 0.998
Na 0.700 0.399 0.499
Na 0.801 0.600 0.000
Na 0.901 0.800 0.499
B 0.060 0.514 0.749
B 0.119 0.889 0.250
B 0.286 0.900 0.749
B 0.290 0.305 0.248
B 0.391 0.103 0.248
B 0.431 0.498 0.749
B 0.444 0.284 0.749
B 0.485 0.694 0.251
B 0.594 0.500 0.250
B 0.691 0.711 0.749
B 0.729 0.110 0.248
B 0.787 0.896 0.249
B 0.832 0.302 0.750
B 0.879 0.088 0.750
B 0.926 0.500 0.250
C 0.027 0.709 0.749
C 0.181 0.695 0.251
C 0.217 0.089 0.749
C 0.622 0.900 0.749
C 0.985 0.305 0.248

Energy of formation (eV per atom): 0.175
Space-group type: P1
ΔE to the lowest computed polymorph (meV/atom): 42
Raw total energy (hartree per atom): -0.18892


# 2
First-principles (PBE) data for crystalline Na5B8C2 at its relaxed geometry, as listed in the Alexandria database.

Unit cell a=7.808 b=7.808 c=9.150 alpha=107.84 beta=107.84 gamma=37.65
Positions (direct):
Na 0.000 0.500 0.000
Na 0.101 0.599 0.501
Na 0.198 0.702 0.000
Na 0.298 0.802 0.500
Na 0.401 0.899 0.999
Na 0.500 0.000 0.500
Na 0.599 0.101 0.001
Na 0.702 0.198 0.500
Na 0.802 0.298 0.000
Na 0.899 0.401 0.499
B 0.020 0.183 0.751
B 0.079 0.921 0.750
B 0.117 0.295 0.251
B 0.183 0.020 0.251
B 0.295 0.117 0.751
B 0.322 0.461 0.249
B 0.431 0.569 0.750
B 0.461 0.322 0.749
B 0.539 0.678 0.251
B 0.569 0.431 0.250
B 0.678 0.539 0.751
B 0.705 0.883 0.249
B 0.817 0.980 0.749
B 0.883 0.705 0.749
B 0.921 0.079 0.250
B 0.980 0.817 0.249
C 0.209 0.386 0.750
C 0.386 0.209 0.250
C 0.614 0.791 0.750
C 0.791 0.614 0.250

Energy of formation (eV per atom): 0.201
Space-group type: C2/c
ΔE to the lowest computed polymorph (meV/atom): 31
Raw total energy (hartree per atom): -0.18484


# 3
First-principles (PBE) data for crystalline Na2B3C at its relaxed geometry, as listed in the Alexandria database.

Unit cell a=5.058 b=7.707 c=9.085 alpha=75.94 beta=73.87 gamma=71.08
Positions (direct):
Na 0.000 0.000 0.000
Na 0.001 0.501 0.498
Na 0.199 0.601 0.998
Na 0.202 0.102 0.496
Na 0.398 0.702 0.498
Na 0.401 0.200 0.001
Na 0.599 0.802 0.998
Na 0.602 0.302 0.493
Na 0.799 0.401 0.001
Na 0.800 0.900 0.497
B 0.029 0.855 0.748
B 0.052 0.352 0.249
B 0.168 0.239 0.748
B 0.237 0.450 0.748
B 0.249 0.941 0.247
B 0.370 0.867 0.748
B 0.420 0.553 0.248
B 0.592 0.433 0.749
B 0.620 0.653 0.748
B 0.622 0.150 0.248
B 0.754 0.063 0.748
B 0.762 0.553 0.249
B 0.839 0.761 0.248
B 0.965 0.148 0.248
B 0.972 0.648 0.748
C 0.166 0.751 0.247
C 0.363 0.350 0.249
C 0.437 0.056 0.748
C 0.566 0.951 0.247
C 0.842 0.247 0.749

Energy of formation (eV per atom): 0.179
Space-group type: P1
ΔE to the lowest computed polymorph (meV/atom): 45
Raw total energy (hartree per atom): -0.18878


# 4
First-principles (PBE) data for crystalline Na5B8C2 at its relaxed geometry, as listed in the Alexandria database.

Unit cell a=5.130 b=7.716 c=9.128 alpha=107.51 beta=90.11 gamma=109.14
Positions (direct):
Na 0.000 0.000 0.000
Na 0.098 0.198 0.496
Na 0.200 0.398 0.994
Na 0.299 0.599 0.497
Na 0.398 0.799 0.997
Na 0.498 0.999 0.495
Na 0.599 0.199 0.997
Na 0.700 0.399 0.496
Na 0.799 0.598 0.994
Na 0.901 0.797 0.494
B 0.081 0.509 0.746
B 0.120 0.883 0.246
B 0.272 0.899 0.745
B 0.342 0.317 0.246
B 0.373 0.096 0.245
B 0.411 0.503 0.746
B 0.470 0.288 0.746
B 0.502 0.687 0.246
B 0.604 0.899 0.745
B 0.716 0.705 0.745
B 0.722 0.102 0.246
B 0.778 0.894 0.246
B 0.806 0.295 0.747
B 0.909 0.092 0.746
B 0.916 0.511 0.246
B 0.987 0.301 0.246
C 0.019 0.704 0.745
C 0.186 0.694 0.247
C 0.213 0.093 0.746
C 0.592 0.503 0.246

Energy of formation (eV per atom): 0.203
Space-group type: P1
ΔE to the lowest computed polymorph (meV/atom): 32
Raw total energy (hartree per atom): -0.18478


# 5
First-principles (PBE) data for crystalline Na2B3C at its relaxed geometry, as listed in the Alexandria database.

Unit cell a=5.798 b=5.823 c=9.095 alpha=81.02 beta=71.42 gamma=60.61
Positions (direct):
Na 0.000 0.000 0.000
Na 0.000 0.499 0.998
Na 0.250 0.498 0.499
Na 0.252 0.999 0.496
Na 0.501 0.498 0.998
Na 0.501 0.998 0.998
Na 0.750 0.000 0.499
Na 0.750 0.499 0.499
B 0.051 0.643 0.247
B 0.052 0.175 0.248
B 0.200 0.840 0.249
B 0.444 0.842 0.748
B 0.459 0.331 0.749
B 0.520 0.174 0.247
B 0.536 0.661 0.251
B 0.715 0.325 0.249
B 0.716 0.841 0.248
B 0.794 0.661 0.748
B 0.963 0.842 0.748
B 0.966 0.319 0.748
C 0.211 0.334 0.246
C 0.292 0.163 0.748
C 0.292 0.664 0.749
C 0.794 0.163 0.748

Energy of formation (eV per atom): 0.178
Space-group type: P1
ΔE to the lowest computed polymorph (meV/atom): 44
Raw total energy (hartree per atom): -0.18882


# 6
First-principles (PBE) data for crystalline Na3B5C at its relaxed geometry, as listed in the Alexandria database.

Unit cell a=2.953 b=2.953 c=25.825 alpha=90.00 beta=90.00 gamma=120.00
Positions (direct):
Na 0.000 0.000 0.000
Na 0.000 0.000 0.168
Na 0.000 0.000 0.332
Na 0.000 0.000 0.500
Na 0.000 0.000 0.668
Na 0.000 0.000 0.832
B 0.333 0.667 0.084
B 0.333 0.667 0.250
B 0.333 0.667 0.416
B 0.333 0.667 0.584
B 0.333 0.667 0.916
B 0.667 0.333 0.084
B 0.667 0.333 0.416
B 0.667 0.333 0.584
B 0.667 0.333 0.750
B 0.667 0.333 0.916
C 0.333 0.667 0.750
C 0.667 0.333 0.250

Energy of formation (eV per atom): 0.242
Space-group type: P6_3/mmc
ΔE to the lowest computed polymorph (meV/atom): 51
Raw total energy (hartree per atom): -0.18124